Entry from Alexandria via LeMat-Bulk: crystalline LaPtIN2 at its relaxed geometry (PBE-GGA).

Cell lengths 4.3365, 4.3365, 5.2039 Å; angles 90.00, 90.00, 90.00 degrees
With the nearest neighbours (Å) after each atom.
Atoms (fractional coordinates):
La (0.0000, 0.0000, 0.0000)  4 I 3.07, 8 N 3.39
Pt (0.5000, 0.5000, 0.5000)  4 N 2.17
I (0.5000, 0.5000, 0.0000)  2 Pt 2.60
N (0.0000, 0.5000, 0.5000)  2 Pt 2.17
N (0.5000, 0.0000, 0.5000)  2 Pt 2.17

V (Å³/atom): 19.57
Excess energy over the best structure of this formula in the dataset (meV per atom): 0.0
Energy relative to the elements, uncorrected (eV per atom): 0.722
Total magnetization (μB per formula unit): 1.78



Entry from Alexandria via LeMat-Bulk: crystalline Ca2NbSbO6 at its relaxed geometry (PBE-GGA).

Cell lengths 5.6920, 5.6920, 5.0490 Å; angles 90.00, 90.00, 90.00 degrees
With the nearest neighbours (Å) after each atom.
Atoms (fractional coordinates):
Ca (0.0000, 0.5000, 0.0000)  4 O 2.36
Ca (0.5000, 0.0000, 0.0000)  4 O 2.36
Nb (0.0000, 0.0000, 0.6286)  5 O 1.85-1.99
Sb (0.5000, 0.5000, 0.5996)  1 O 1.99
O (0.0000, 0.0000, 0.2614)  1 Nb 1.85
O (0.2337, 0.2337, 0.7561)  1 Nb 1.99
O (0.2337, 0.7663, 0.7561)  1 Nb 1.99
O (0.5000, 0.5000, 0.2061)  1 Sb 1.99
O (0.7663, 0.2337, 0.7561)  1 Nb 1.99
O (0.7663, 0.7663, 0.7561)  1 Nb 1.99

V (Å³/atom): 16.36
Energy relative to the elements, uncorrected (eV per atom): -2.340
Total magnetization (μB per formula unit): 0.00



Entry from Alexandria via LeMat-Bulk: crystalline HoFe4B2 at its relaxed geometry (PBE-GGA).

Cell lengths 6.4437, 6.4437, 3.5176 Å; angles 90.00, 90.00, 148.36 degrees
With the nearest neighbours (Å) after each atom.
Atoms (fractional coordinates):
Ho (0.0000, 0.0000, 0.0000)  8 B 2.72, 8 Fe 2.89-2.92
Fe (0.1851, 0.8149, 0.5000)  2 B 2.13, 4 Fe 2.36-2.38
Fe (0.3116, 0.6884, 0.0000)  2 B 2.15, 4 Fe 2.33-2.36
Fe (0.6884, 0.3116, 0.0000)  2 B 2.15, 4 Fe 2.33-2.36
Fe (0.8149, 0.1851, 0.5000)  2 B 2.13, 4 Fe 2.36-2.38
B (0.4117, 0.5883, 0.5000)  4 Fe 2.13-2.15, 1 B 2.19
B (0.5883, 0.4117, 0.5000)  4 Fe 2.13-2.15, 1 B 2.19

V (Å³/atom): 10.94
ΔE_f (eV per atom): -0.269
Total magnetization (μB per formula unit): 0.00



Entry from Alexandria via LeMat-Bulk: crystalline Sr4Ru at its relaxed geometry (PBE-GGA).

Cell lengths 5.9494, 5.9494, 5.9494 Å; angles 90.00, 90.00, 90.00 degrees
With the nearest neighbours (Å) after each atom.
Atoms (fractional coordinates):
Sr (0.0000, 0.0000, 0.0000)  12 Sr 4.21
Sr (0.0000, 0.5000, 0.5000)  2 Ru 2.97
Sr (0.5000, 0.0000, 0.5000)  2 Ru 2.97
Sr (0.5000, 0.5000, 0.0000)  2 Ru 2.97
Ru (0.5000, 0.5000, 0.5000)  6 Sr 2.97

V (Å³/atom): 42.12
ΔE_f (eV per atom): 0.225
Excess energy over the best structure of this formula in the dataset (meV per atom): 0.0
Total magnetization (μB per formula unit): 0.24